This record from Alexandria via LeMat-Bulk describes a relaxed structure of Ba3Ge5. The functional is PBEsol.

Magnetization: 0.000 μB per formula unit
ΔE_f: -0.59 eV per atom
SG: Cmcm, No. 63

Cell and atoms, written as POSCAR:
```
Ba3Ge5
1.0
5.1164 -4.2540 0.0000
5.1164 4.2540 0.0000
0.0000 0.0000 10.2896
Ba Ge
6 10
Direct
0.1546 0.8454 0.7500
0.2896 0.2896 0.0000
0.2896 0.2896 0.5000
0.7104 0.7104 0.0000
0.7104 0.7104 0.5000
0.8454 0.1546 0.2500
0.0340 0.6046 0.2500
0.2030 0.7970 0.0718
0.2030 0.7970 0.4282
0.3954 0.9660 0.2500
0.4340 0.5660 0.2500
0.5660 0.4340 0.7500
0.6046 0.0340 0.7500
0.7970 0.2030 0.5718
0.7970 0.2030 0.9282
0.9660 0.3954 0.7500
```


This record from Alexandria via LeMat-Bulk describes a relaxed structure of BaGe3. The functional is PBEsol.

Magnetization: 0.000 μB per formula unit
ΔE_f: -0.41 eV per atom
SG: P6_3/mmc, No. 194

Cell and atoms, written as POSCAR:
```
BaGe3
1.0
6.7960 0.0000 0.0000
-3.3980 5.8855 0.0000
0.0000 0.0000 4.9480
Ba Ge
2 6
Direct
0.3333 0.6667 0.2500
0.6667 0.3333 0.7500
0.1288 0.2577 0.7500
0.1288 0.8712 0.7500
0.2577 0.1288 0.2500
0.7423 0.8712 0.7500
0.8712 0.1288 0.2500
0.8712 0.7423 0.2500
```


This record from Alexandria via LeMat-Bulk describes a relaxed structure of BaGe6. The functional is PBEsol.

Magnetization: 0.000 μB per formula unit
ΔE_f: -0.21 eV per atom
SG: Cmcm, No. 63

Cell and atoms, written as POSCAR:
```
BaGe6
1.0
2.3814 -5.3655 0.0000
2.3814 5.3655 0.0000
0.0000 0.0000 12.3300
Ba Ge
2 12
Direct
0.2306 0.7694 0.7500
0.7694 0.2306 0.2500
0.0544 0.9456 0.1463
0.0544 0.9456 0.3537
0.2518 0.7482 0.0368
0.2518 0.7482 0.4632
0.4770 0.5230 0.1011
0.4770 0.5230 0.3989
0.5230 0.4770 0.6011
0.5230 0.4770 0.8989
0.7482 0.2518 0.5368
0.7482 0.2518 0.9632
0.9456 0.0544 0.6463
0.9456 0.0544 0.8537
```


This record from Alexandria via LeMat-Bulk describes a relaxed structure of Ba5Ge3. The functional is PBEsol.

Magnetization: 0.008 μB per formula unit
ΔE_f: -0.53 eV per atom
SG: P4/ncc, No. 130

Cell and atoms, written as POSCAR:
```
Ba5Ge3
1.0
8.4217 0.0000 0.0000
0.0000 8.4217 0.0000
0.0000 0.0000 16.4474
Ba Ge
20 12
Direct
0.0534 0.5837 0.1079
0.0534 0.9163 0.6079
0.0837 0.5534 0.3921
0.0837 0.9466 0.8921
0.2500 0.2500 0.2174
0.2500 0.2500 0.7174
0.4163 0.5534 0.8921
0.4163 0.9466 0.3921
0.4466 0.5837 0.6079
0.4466 0.9163 0.1079
0.5534 0.0837 0.8921
0.5534 0.4163 0.3921
0.5837 0.0534 0.6079
0.5837 0.4466 0.1079
0.7500 0.7500 0.2826
0.7500 0.7500 0.7826
0.9163 0.0534 0.1079
0.9163 0.4466 0.6079
0.9466 0.0837 0.3921
0.9466 0.4163 0.8921
0.1423 0.6423 0.7500
0.1423 0.8577 0.2500
0.2500 0.2500 0.0104
0.2500 0.2500 0.5104
0.3577 0.6423 0.2500
0.3577 0.8577 0.7500
0.6423 0.1423 0.2500
0.6423 0.3577 0.7500
0.7500 0.7500 0.4896
0.7500 0.7500 0.9896
0.8577 0.1423 0.7500
0.8577 0.3577 0.2500
```


This record from Alexandria via LeMat-Bulk describes a relaxed structure of Ba3Ge4. The functional is PBEsol.

Magnetization: 0.000 μB per formula unit
ΔE_f: -0.60 eV per atom
SG: P4_2/mnm, No. 136

Cell and atoms, written as POSCAR:
```
Ba3Ge4
1.0
8.3314 0.0000 0.0000
0.0000 8.3314 0.0000
0.0000 0.0000 12.1004
Ba Ge
12 16
Direct
0.0000 0.0000 0.1646
0.0000 0.0000 0.8354
0.0000 0.5000 0.2500
0.0000 0.5000 0.7500
0.1602 0.1602 0.5000
0.3398 0.6602 0.0000
0.5000 0.0000 0.2500
0.5000 0.0000 0.7500
0.5000 0.5000 0.3354
0.5000 0.5000 0.6646
0.6602 0.3398 0.0000
0.8398 0.8398 0.5000
0.0653 0.3359 0.0000
0.1641 0.5653 0.5000
0.2043 0.7957 0.3590
0.2043 0.7957 0.6410
0.2957 0.2957 0.1410
0.2957 0.2957 0.8590
0.3359 0.0653 0.0000
0.4347 0.8359 0.5000
0.5653 0.1641 0.5000
0.6641 0.9347 0.0000
0.7043 0.7043 0.1410
0.7043 0.7043 0.8590
0.7957 0.2043 0.3590
0.7957 0.2043 0.6410
0.8359 0.4347 0.5000
0.9347 0.6641 0.0000
```


This record from Alexandria via LeMat-Bulk describes a relaxed structure of Ba2Ge. The functional is PBEsol.

Magnetization: 0.000 μB per formula unit
ΔE_f: -0.51 eV per atom
SG: Pnma, No. 62

Cell and atoms, written as POSCAR:
```
Ba2Ge
1.0
8.3555 0.0000 0.0000
0.0000 5.3292 0.0000
0.0000 0.0000 10.0754
Ba Ge
8 4
Direct
0.0222 0.2500 0.1726
0.1462 0.2500 0.5826
0.3538 0.7500 0.0826
0.4778 0.7500 0.6726
0.5222 0.2500 0.3274
0.6462 0.2500 0.9174
0.8538 0.7500 0.4174
0.9778 0.7500 0.8274
0.2486 0.2500 0.8964
0.2514 0.7500 0.3964
0.7486 0.2500 0.6036
0.7514 0.7500 0.1036
```


This record from Alexandria via LeMat-Bulk describes a relaxed structure of BaGe2. The functional is PBEsol.

Magnetization: 0.000 μB per formula unit
ΔE_f: -0.54 eV per atom
SG: I4_1/amd, No. 141

Cell and atoms, written as POSCAR:
```
BaGe2
1.0
-2.3650 2.3650 7.3044
2.3650 -2.3650 7.3044
2.3650 2.3650 -7.3044
Ba Ge
2 4
Direct
0.3750 0.6250 0.7500
0.6250 0.3750 0.2500
0.0411 0.7911 0.2500
0.2089 0.9589 0.2500
0.7911 0.0411 0.7500
0.9589 0.2089 0.7500
```


This record from Alexandria via LeMat-Bulk describes a relaxed structure of BaGe2. The functional is PBEsol.

Magnetization: 0.000 μB per formula unit
ΔE_f: -0.54 eV per atom
SG: Pnma, No. 62

Cell and atoms, written as POSCAR:
```
BaGe2
1.0
9.0022 0.0000 0.0000
0.0000 6.7511 0.0000
0.0000 0.0000 11.4801
Ba Ge
8 16
Direct
0.0161 0.2500 0.1901
0.1574 0.7500 0.4074
0.3426 0.2500 0.9074
0.4839 0.7500 0.6901
0.5161 0.2500 0.3099
0.6574 0.7500 0.0926
0.8426 0.2500 0.5926
0.9839 0.7500 0.8099
0.0744 0.7500 0.0944
0.1897 0.0617 0.6506
0.1897 0.4383 0.6506
0.1929 0.2500 0.4586
0.3071 0.7500 0.9586
0.3103 0.5617 0.1506
0.3103 0.9383 0.1506
0.4256 0.2500 0.5944
0.5744 0.7500 0.4056
0.6897 0.0617 0.8494
0.6897 0.4383 0.8494
0.6929 0.2500 0.0414
0.8071 0.7500 0.5414
0.8103 0.5617 0.3494
0.8103 0.9383 0.3494
0.9256 0.2500 0.9056
```


This record from Alexandria via LeMat-Bulk describes a relaxed structure of BaGeH2. The functional is PBEsol.

VASP energy: -13.5 eV for the cell shown
Magnetization: 0.000 μB per formula unit
SG: Fm-3m, No. 225

Cell and atoms, written as POSCAR:
```
BaGeH2
1.0
0.0000 3.1825 3.1825
3.1825 0.0000 3.1825
3.1825 3.1825 0.0000
Ba Ge H
1 1 2
Direct
0.0000 0.0000 0.0000
0.5000 0.5000 0.5000
0.2500 0.2500 0.2500
0.7500 0.7500 0.7500
```


This record from Alexandria via LeMat-Bulk describes a relaxed structure of Ba2HgGe2. The functional is PBEsol.

Magnetization: 0.000 μB per formula unit
ΔE_f: -0.45 eV per atom
SG: P4/mbm, No. 127

Cell and atoms, written as POSCAR:
```
Ba2HgGe2
1.0
8.4548 0.0000 0.0000
0.0000 8.4548 0.0000
0.0000 0.0000 4.4758
Ba Hg Ge
4 2 4
Direct
0.1931 0.3069 0.0000
0.3069 0.8069 0.0000
0.6931 0.1931 0.0000
0.8069 0.6931 0.0000
0.0000 0.0000 0.5000
0.5000 0.5000 0.5000
0.0992 0.5992 0.5000
0.4008 0.0992 0.5000
0.5992 0.9008 0.5000
0.9008 0.4008 0.5000
```


This record from Alexandria via LeMat-Bulk describes a relaxed structure of Ba2InReGe. The functional is PBEsol.

Magnetization: 3.589 μB per formula unit
ΔE_f: 1.36 eV per atom
SG: P4/mmm, No. 123

Cell and atoms, written as POSCAR:
```
Ba2InReGe
1.0
6.4245 0.0000 0.0000
0.0000 6.4245 0.0000
0.0000 0.0000 4.8835
Ba In Re Ge
2 1 1 1
Direct
0.0000 0.5000 0.0000
0.5000 0.0000 0.0000
0.0000 0.0000 0.0000
0.5000 0.5000 0.5000
0.0000 0.0000 0.5000
```


This record from Alexandria via LeMat-Bulk describes a relaxed structure of BaTl2InGe. The functional is PBEsol.

Magnetization: 0.000 μB per formula unit
ΔE_f: 0.13 eV per atom
SG: P4/mmm, No. 123

Cell and atoms, written as POSCAR:
```
BaTl2InGe
1.0
5.3855 0.0000 0.0000
0.0000 5.3855 0.0000
0.0000 0.0000 6.1573
Ba Tl In Ge
1 2 1 1
Direct
0.0000 0.0000 0.0000
0.0000 0.5000 0.5000
0.5000 0.0000 0.5000
0.5000 0.5000 0.0000
0.0000 0.0000 0.5000
```


This record from Alexandria via LeMat-Bulk describes a relaxed structure of BaGe3Ir. The functional is PBEsol.

Magnetization: 0.000 μB per formula unit
ΔE_f: -0.56 eV per atom
SG: I4mm, No. 107

Cell and atoms, written as POSCAR:
```
BaGe3Ir
1.0
-2.2629 2.2629 5.0976
2.2629 -2.2629 5.0976
2.2629 2.2629 -5.0976
Ba Ge Ir
1 3 1
Direct
0.0000 0.0000 0.0000
0.2470 0.7470 0.5000
0.5888 0.5888 0.0000
0.7470 0.2470 0.5000
0.3489 0.3489 0.0000
```


This record from Alexandria via LeMat-Bulk describes a relaxed structure of Ba3GeIr. The functional is PBEsol.

Magnetization: 0.184 μB per formula unit
ΔE_f: 0.66 eV per atom
SG: Pm-3m, No. 221

Cell and atoms, written as POSCAR:
```
Ba3GeIr
1.0
6.0050 0.0000 0.0000
0.0000 6.0050 0.0000
0.0000 0.0000 6.0050
Ba Ge Ir
3 1 1
Direct
0.0000 0.0000 0.5000
0.0000 0.5000 0.0000
0.5000 0.0000 0.0000
0.0000 0.0000 0.0000
0.5000 0.5000 0.5000
```


This record from Alexandria via LeMat-Bulk describes a relaxed structure of Ba2TiGeIr. The functional is PBEsol.

Magnetization: 1.194 μB per formula unit
ΔE_f: 0.26 eV per atom
SG: P4/mmm, No. 123

Cell and atoms, written as POSCAR:
```
Ba2TiGeIr
1.0
6.0406 0.0000 0.0000
0.0000 6.0406 0.0000
0.0000 0.0000 4.6333
Ba Ti Ge Ir
2 1 1 1
Direct
0.0000 0.5000 0.0000
0.5000 0.0000 0.0000
0.0000 0.0000 0.5000
0.5000 0.5000 0.5000
0.0000 0.0000 0.0000
```


This record from Alexandria via LeMat-Bulk describes a relaxed structure of K4BaGe3O9. The functional is PBEsol.

Formation energy (no corrections): -1.934 eV/atom
Magnetization: 0.054 μB per formula unit
SG: C2, No. 5

Cell and atoms, written as POSCAR:
```
K4BaGe3O9
1.0
4.1866 -6.1775 0.0000
4.1866 6.1775 0.0000
-0.1467 0.0000 11.3585
K Ba Ge O
8 2 6 18
Direct
0.0002 0.9998 0.0000
0.1453 0.7437 0.7446
0.2563 0.8547 0.2554
0.2761 0.2761 0.7497
0.5153 0.4847 0.0000
0.5731 0.4269 0.5000
0.7239 0.7239 0.2503
0.9757 0.0243 0.5000
0.7508 0.2325 0.2262
0.7675 0.2492 0.7738
0.0764 0.5345 0.0336
0.0818 0.5221 0.4765
0.2354 0.3216 0.2590
0.4655 0.9236 0.9664
0.4779 0.9182 0.5235
0.6784 0.7646 0.7410
0.0285 0.4060 0.6109
0.0479 0.0974 0.2464
0.0816 0.3783 0.9217
0.2022 0.5001 0.1637
0.2163 0.7837 0.0000
0.2224 0.7776 0.5000
0.2366 0.4163 0.4062
0.4603 0.1418 0.9212
0.4672 0.3341 0.2383
0.4772 0.1029 0.6159
0.4999 0.7978 0.8363
0.5837 0.7634 0.5938
0.5940 0.9715 0.3891
0.6217 0.9184 0.0783
0.6659 0.5328 0.7617
0.8582 0.5397 0.0788
0.8971 0.5228 0.3841
0.9026 0.9521 0.7536
```


This record from Alexandria via LeMat-Bulk describes a relaxed structure of BaLaTlGe2. The functional is PBEsol.

Magnetization: 0.000 μB per formula unit
ΔE_f: 0.11 eV per atom
SG: P4/mmm, No. 123

Cell and atoms, written as POSCAR:
```
BaLaTlGe2
1.0
5.5905 0.0000 0.0000
0.0000 5.5905 0.0000
0.0000 0.0000 5.8681
Ba La Tl Ge
1 1 1 2
Direct
0.0000 0.0000 0.0000
0.5000 0.5000 0.5000
0.5000 0.5000 0.0000
0.0000 0.5000 0.5000
0.5000 0.0000 0.5000
```


This record from Alexandria via LeMat-Bulk describes a relaxed structure of Ba3LiGe. The functional is PBEsol.

Magnetization: 0.001 μB per formula unit
ΔE_f: -0.08 eV per atom
SG: Pm-3m, No. 221

Cell and atoms, written as POSCAR:
```
Ba3LiGe
1.0
6.4259 0.0000 0.0000
0.0000 6.4259 0.0000
0.0000 0.0000 6.4259
Ba Li Ge
3 1 1
Direct
0.0000 0.0000 0.5000
0.0000 0.5000 0.0000
0.5000 0.0000 0.0000
0.5000 0.5000 0.5000
0.0000 0.0000 0.0000
```


This record from Alexandria via LeMat-Bulk describes a relaxed structure of BaLi2Ge2. The functional is PBEsol.

Magnetization: 0.000 μB per formula unit
ΔE_f: -0.45 eV per atom
SG: I4/mmm, No. 139

Cell and atoms, written as POSCAR:
```
BaLi2Ge2
1.0
-2.3234 2.3234 5.1980
2.3234 -2.3234 5.1980
2.3234 2.3234 -5.1980
Ba Li Ge
1 2 2
Direct
0.0000 0.0000 0.0000
0.2500 0.7500 0.5000
0.7500 0.2500 0.5000
0.3846 0.3846 0.0000
0.6154 0.6154 0.0000
```


This record from Alexandria via LeMat-Bulk describes a relaxed structure of Ba2LiTaGe. The functional is PBEsol.

Magnetization: 4.263 μB per formula unit
ΔE_f: 0.90 eV per atom
SG: P4/mmm, No. 123

Cell and atoms, written as POSCAR:
```
Ba2LiTaGe
1.0
6.2387 0.0000 0.0000
0.0000 6.2387 0.0000
0.0000 0.0000 4.6782
Ba Li Ta Ge
2 1 1 1
Direct
0.0000 0.5000 0.0000
0.5000 0.0000 0.0000
0.0000 0.0000 0.5000
0.5000 0.5000 0.5000
0.0000 0.0000 0.0000
```


This record from Alexandria via LeMat-Bulk describes a relaxed structure of BaMg2Ge2. The functional is PBEsol.

Magnetization: 0.000 μB per formula unit
ΔE_f: -0.50 eV per atom
SG: I4/mmm, No. 139

Cell and atoms, written as POSCAR:
```
BaMg2Ge2
1.0
-2.3163 2.3163 5.6683
2.3163 -2.3163 5.6683
2.3163 2.3163 -5.6683
Ba Mg Ge
1 2 2
Direct
0.0000 0.0000 0.0000
0.2500 0.7500 0.5000
0.7500 0.2500 0.5000
0.3853 0.3853 0.0000
0.6147 0.6147 0.0000
```